1.
DFT (PBE-GGA) results for a relaxed structure of Er2ZnS4.

Computed properties:
ρ = 5.28 g cm⁻³
Distance to the lowest polymorph of the same formula = 0.000 eV per atom
E_tot = -155.31 eV per cell

abc: 13.451 7.837 6.308
angles: 90.00 90.00 90.00
Atoms (fractional coordinates):
Er 0.000 0.000 0.000
Er 0.000 0.500 0.000
Er 0.235 0.250 0.497
Er 0.265 0.750 0.997
Er 0.500 0.000 0.500
Er 0.500 0.500 0.500
Er 0.735 0.250 0.003
Er 0.765 0.750 0.503
Zn 0.092 0.750 0.411
Zn 0.408 0.250 0.911
Zn 0.592 0.750 0.089
Zn 0.908 0.250 0.589
S 0.070 0.250 0.745
S 0.090 0.750 0.776
S 0.168 0.513 0.243
S 0.168 0.987 0.243
S 0.332 0.013 0.743
S 0.332 0.487 0.743
S 0.410 0.250 0.276
S 0.430 0.750 0.245
S 0.570 0.250 0.755
S 0.590 0.750 0.724
S 0.668 0.513 0.257
S 0.668 0.987 0.257
S 0.832 0.013 0.757
S 0.832 0.487 0.757
S 0.910 0.250 0.224
S 0.930 0.750 0.255


2.
DFT (PBE-GGA) results for a relaxed structure of Cu4TcPt5.

Computed properties:
ρ = 15.60 g cm⁻³
E_tot = -58.58 eV per cell

abc: 2.771 2.771 18.400
angles: 90.00 90.00 90.00
Atoms (fractional coordinates):
Cu 0.000 0.000 0.098
Cu 0.000 0.000 0.295
Cu 0.000 0.000 0.705
Cu 0.000 0.000 0.902
Tc 0.000 0.000 0.500
Pt 0.500 0.500 0.000
Pt 0.500 0.500 0.197
Pt 0.500 0.500 0.397
Pt 0.500 0.500 0.603
Pt 0.500 0.500 0.803


3.
DFT (PBE-GGA) results for a relaxed structure of LiDy2PbS4.

Computed properties:
ρ = 6.08 g cm⁻³
E_tot = -86.42 eV per cell

abc: 8.010 8.010 8.010
angles: 119.89 119.66 90.39
Atoms (fractional coordinates):
Li 0.000 0.000 0.000
Li 0.500 0.000 0.500
Dy 0.000 0.500 0.500
Dy 0.500 0.000 0.000
Dy 0.500 0.500 0.000
Dy 0.500 0.500 0.500
Pb 0.000 0.000 0.500
Pb 0.000 0.500 0.000
S 0.258 0.264 0.506
S 0.258 0.752 0.994
S 0.266 0.249 0.016
S 0.267 0.751 0.516
S 0.733 0.249 0.484
S 0.734 0.751 0.984
S 0.742 0.248 0.006
S 0.742 0.736 0.494